--- w ---
Below is PrErAgAu after structural relaxation, with properties calculated at the PBE level.

DOS(E_F) = 1.003 states/eV per atom

```
data_PrErAgAu
_cell_length_a 7.355
_cell_length_b 7.355
_cell_length_c 7.355
_cell_angle_alpha 90.00
_cell_angle_beta 90.00
_cell_angle_gamma 90.00
_symmetry_space_group_name_H-M 'F -4 3 m'
_symmetry_Int_Tables_number 216
_symmetry_space_group_name_Hall 'F -4 2 3'
loop_
_atom_site_label
_atom_site_type_symbol
_atom_site_fract_x
_atom_site_fract_y
_atom_site_fract_z
Pr1 Pr 0.000 0.000 0.000
Er1 Er 0.000 0.000 0.500
Ag1 Ag 0.250 0.250 0.250
Au1 Au 0.250 0.250 0.750
```

--- x ---
Below is PrErAgAu after structural relaxation, with properties calculated at the PBE level.

DOS(E_F) = 0.442 states/eV per atom

```
data_PrErAgAu
_cell_length_a 3.626
_cell_length_b 3.626
_cell_length_c 7.515
_cell_angle_alpha 90.00
_cell_angle_beta 90.00
_cell_angle_gamma 90.00
_symmetry_space_group_name_H-M 'P 4 m m'
_symmetry_Int_Tables_number 99
_symmetry_space_group_name_Hall 'P 4 -2'
loop_
_atom_site_label
_atom_site_type_symbol
_atom_site_fract_x
_atom_site_fract_y
_atom_site_fract_z
Pr1 Pr 0.000 0.000 0.000
Er1 Er 0.000 0.000 0.488
Ag1 Ag 0.500 0.500 0.719
Au1 Au 0.500 0.500 0.275
```

In terms of stability, x leads; the second structure lies 3.4 kJ/mol of atoms higher.

--- w ---
Below is ErAgRhAu after structural relaxation, with properties calculated at the PBE level.

DOS(E_F) = 0.171 states/eV per atom

```
data_ErAgRhAu
_cell_length_a 4.019
_cell_length_b 4.093
_cell_length_c 4.440
_cell_angle_alpha 90.00
_cell_angle_beta 90.00
_cell_angle_gamma 90.00
_symmetry_space_group_name_H-M 'P m m m'
_symmetry_Int_Tables_number 47
_symmetry_space_group_name_Hall '-P 2 2'
loop_
_atom_site_label
_atom_site_type_symbol
_atom_site_fract_x
_atom_site_fract_y
_atom_site_fract_z
Er1 Er 0.000 0.000 0.000
Ag1 Ag 0.000 0.500 0.500
Rh1 Rh 0.500 0.500 0.000
Au1 Au 0.500 0.000 0.500
```

--- x ---
Below is ErAgRhAu after structural relaxation, with properties calculated at the PBE level.

DOS(E_F) = 0.849 states/eV per atom

```
data_ErAgRhAu
_cell_length_a 6.704
_cell_length_b 6.704
_cell_length_c 6.704
_cell_angle_alpha 90.00
_cell_angle_beta 90.00
_cell_angle_gamma 90.00
_symmetry_space_group_name_H-M 'F -4 3 m'
_symmetry_Int_Tables_number 216
_symmetry_space_group_name_Hall 'F -4 2 3'
loop_
_atom_site_label
_atom_site_type_symbol
_atom_site_fract_x
_atom_site_fract_y
_atom_site_fract_z
Er1 Er 0.000 0.000 0.000
Ag1 Ag 0.000 0.000 0.500
Rh1 Rh 0.250 0.250 0.250
Au1 Au 0.250 0.250 0.750
```

In terms of stability, w leads; the second structure lies 13.0 kJ/mol of atoms higher.

--- w ---
Below is SmErAgAu after structural relaxation, with properties calculated at the PBE level.

DOS(E_F) = 0.518 states/eV per atom

```
data_SmErAgAu
_cell_length_a 3.603
_cell_length_b 3.603
_cell_length_c 7.401
_cell_angle_alpha 90.00
_cell_angle_beta 90.00
_cell_angle_gamma 90.00
_symmetry_space_group_name_H-M 'P 4 m m'
_symmetry_Int_Tables_number 99
_symmetry_space_group_name_Hall 'P 4 -2'
loop_
_atom_site_label
_atom_site_type_symbol
_atom_site_fract_x
_atom_site_fract_y
_atom_site_fract_z
Sm1 Sm 0.000 0.000 0.000
Er1 Er 0.000 0.000 0.511
Ag1 Ag 0.500 0.500 0.273
Au1 Au 0.500 0.500 0.736
```

--- x ---
Below is SmErAgAu after structural relaxation, with properties calculated at the PBE level.

DOS(E_F) = 0.742 states/eV per atom

```
data_SmErAgAu
_cell_length_a 7.276
_cell_length_b 7.276
_cell_length_c 7.276
_cell_angle_alpha 90.00
_cell_angle_beta 90.00
_cell_angle_gamma 90.00
_symmetry_space_group_name_H-M 'F -4 3 m'
_symmetry_Int_Tables_number 216
_symmetry_space_group_name_Hall 'F -4 2 3'
loop_
_atom_site_label
_atom_site_type_symbol
_atom_site_fract_x
_atom_site_fract_y
_atom_site_fract_z
Sm1 Sm 0.000 0.000 0.000
Er1 Er 0.000 0.000 0.500
Ag1 Ag 0.250 0.250 0.750
Au1 Au 0.250 0.250 0.250
```

In terms of stability, w leads; the second structure lies 1.5 kJ/mol of atoms higher.